No. 1
CsNaClF2 | PBE | optimized geometry

The structure in POSCAR format:
```
CsNaClF2
1.0
4.5786 0.0000 0.0000
0.0000 7.4043 0.0000
0.0000 0.0000 4.5786
Cs Na F Cl
1 1 2 1
Cartesian
0.0000 3.7021 0.0000
0.0000 0.0000 0.0000
0.0000 0.0000 2.2893
2.2893 0.0000 0.0000
2.2893 3.7021 2.2893
```

M_tot: 0.200 μB per atom
space-group type: P4/mmm, No. 123
raw formation energy: -1.6394 eV per atom
volume: 155 Å³ per cell
calculated density: 2.45 g/cm³

=====

No. 2
Cs2NaCl6F | PBE | optimized geometry

The structure in POSCAR format:
```
Cs2NaCl6F
1.0
7.1901 0.0000 0.0000
0.0000 7.1901 0.0000
3.5950 3.5950 6.0608
Cs Na F Cl
2 1 1 6
Cartesian
7.1901 3.5950 3.0304
3.5950 7.1901 3.0304
0.0000 0.0000 0.0000
3.5950 3.5950 0.0000
3.5950 3.5950 3.4944
7.1901 7.1901 2.5663
2.0150 2.0150 0.0000
5.1751 5.1751 0.0000
5.1751 2.0150 0.0000
2.0150 5.1751 0.0000
```

M_tot: 0.000 μB per atom
space-group type: I4/mmm, No. 139
raw formation energy: -0.8971 eV per atom
volume: 313 Å³ per cell
calculated density: 2.76 g/cm³

=====

No. 3
Cs3Na2Cl3F2 | PBE | optimized geometry

The structure in POSCAR format:
```
Cs3Na2Cl3F2
1.0
4.7551 0.0000 0.0000
0.0000 4.7551 0.0000
-2.3776 -2.3776 13.6082
Cs Na Cl F
3 2 3 2
Cartesian
2.3776 2.3775 3.7245
0.0000 0.0000 9.8837
0.0000 0.0000 0.0000
2.3776 2.3776 7.3226
0.0000 0.0000 6.2856
2.3776 2.3775 10.1116
2.3776 2.3776 0.0000
0.0000 0.0000 3.4965
2.3776 0.0000 6.8041
0.0000 2.3776 6.8041
```

M_tot: 0.001 μB per atom
space-group type: I4/mmm, No. 139
raw formation energy: -2.1880 eV per atom
volume: 308 Å³ per cell
calculated density: 3.18 g/cm³

=====

No. 4
Cs2NbCl5F | PBE | optimized geometry

The structure in POSCAR format:
```
Cs2NbCl5F
1.0
-2.1989 -7.0709 -0.1293
2.8650 2.8099 -6.2246
5.9098 1.6736 4.1379
Cs Nb Cl F
2 1 5 1
Cartesian
4.0009 -1.6025 1.4941
2.4785 -1.0343 -3.6871
8.7348 4.4630 -2.0771
0.9466 -2.2246 -0.5221
5.5294 -0.4140 -1.6701
3.5083 2.5256 -3.8533
5.1665 1.9067 1.7904
2.0622 1.0537 -0.4904
7.0499 3.6021 -1.6765
```

M_tot: 0.111 μB per atom
space-group type: I4mm, No. 107
raw formation energy: -1.8906 eV per atom
volume: 297 Å³ per cell
calculated density: 3.10 g/cm³